[1]
This record from Alexandria via LeMat-Bulk describes a geometry-optimized Pr5N4 structure. The functional is GGA-PBE.

Results
energy above the lowest structure with this stoichiometry	0	meV per atom
ΔE_f (raw)	-0.92	eV/atom

Cell lengths 3.852, 7.589, 7.589 Å; angles 86.31, 75.30, 75.30 degrees
Fractional coordinates of all 9 atoms:
N (0.190, 0.666, 0.954)
N (0.810, 0.334, 0.046)
N (0.144, 0.046, 0.666)
N (0.856, 0.954, 0.334)
Pr (0.395, 0.368, 0.842)
Pr (0.763, 0.842, 0.632)
Pr (0.605, 0.632, 0.158)
Pr (0.000, 0.000, 0.000)
Pr (0.237, 0.158, 0.368)

[2]
This record from Alexandria via LeMat-Bulk describes a geometry-optimized Sm6Ag6Sn structure. The functional is GGA-PBE.

Results
energy of formation from the pure elements	-0.209	eV per atom

Cell lengths 5.925, 5.925, 10.949 Å; angles 90.00, 90.00, 120.00 degrees
Fractional coordinates of all 13 atoms:
Sn (0.000, 0.000, 0.000)
Sm (0.333, 0.667, 0.500)
Sm (0.667, 0.333, 0.500)
Sm (0.000, 0.000, 0.332)
Sm (0.000, 0.000, 0.668)
Sm (0.333, 0.667, 0.000)
Sm (0.667, 0.333, 0.000)
Ag (0.000, 0.500, 0.243)
Ag (0.500, 0.000, 0.757)
Ag (0.500, 0.500, 0.756)
Ag (0.000, 0.500, 0.757)
Ag (0.500, 0.000, 0.243)
Ag (0.500, 0.500, 0.244)

[3]
This record from Alexandria via LeMat-Bulk describes a geometry-optimized Tl5BiPb structure. The functional is GGA-PBE.

Results
energy above the lowest structure with this stoichiometry	0	meV per atom
energy of formation from the pure elements	0.041	eV per atom

Cell lengths 6.730, 6.730, 12.235 Å; angles 80.55, 80.55, 57.96 degrees
Fractional coordinates of all 14 atoms:
Bi (0.000, 0.000, 0.500)
Bi (0.000, 0.000, 0.000)
Tl (0.366, 0.325, 0.530)
Tl (0.284, 0.188, 0.805)
Tl (0.716, 0.812, 0.195)
Tl (0.188, 0.284, 0.305)
Tl (0.634, 0.675, 0.470)
Tl (0.325, 0.366, 0.030)
Tl (0.717, 0.283, 0.250)
Tl (0.283, 0.717, 0.750)
Tl (0.812, 0.716, 0.695)
Tl (0.675, 0.634, 0.970)
Pb (0.221, 0.779, 0.250)
Pb (0.779, 0.221, 0.750)

[4]
This record from Alexandria via LeMat-Bulk describes a geometry-optimized Li7Pr3Pt4 structure. The functional is GGA-PBE.

Results
energy of formation from the pure elements	-0.603	eV per atom

Cell lengths 4.198, 8.270, 8.715 Å; angles 73.28, 76.06, 75.30 degrees
Fractional coordinates of all 14 atoms:
Pt (0.342, 0.565, 0.751)
Pt (0.892, 0.895, 0.320)
Pt (0.108, 0.105, 0.680)
Pt (0.658, 0.435, 0.249)
Li (0.329, 0.840, 0.502)
Li (0.517, 0.767, 0.200)
Li (0.671, 0.160, 0.498)
Li (0.833, 0.405, 0.930)
Li (0.000, 0.000, 0.000)
Li (0.483, 0.233, 0.800)
Li (0.167, 0.595, 0.070)
Pr (0.295, 0.173, 0.237)
Pr (0.000, 0.500, 0.500)
Pr (0.705, 0.827, 0.763)

| no. | energy (eV/atom) |
| --- | --- |
| 1 | -7.2792 |
| 2 | -4.0111 |
| 3 | -2.7331 |
| 4 | -4.3102 |